(1)
The following is a PBE+U calculation of crystalline Li4TiCr3O8 at its relaxed geometry, from the Alexandria database.

Summary:
The calculated total energy comes out at -7.034 eV/atom. Its density of states at the Fermi level is 0.264 states/eV per atom. The crystal system is trigonal.

Lattice parameters (Å, degrees): 5.9648 5.9648 5.9648 59.50 59.50 59.50
Atoms (fractional coordinates):
Li (0.0000, 0.0000, 0.0000)
Li (0.0000, 0.5000, 0.5000)
Li (0.5000, 0.0000, 0.5000)
Li (0.5000, 0.5000, 0.0000)
Ti (0.5000, 0.5000, 0.5000)
Cr (0.0000, 0.0000, 0.5000)
Cr (0.0000, 0.5000, 0.0000)
Cr (0.5000, 0.0000, 0.0000)
O (0.2414, 0.2414, 0.2414)
O (0.2415, 0.7442, 0.7442)
O (0.2558, 0.2558, 0.7585)
O (0.2558, 0.7585, 0.2558)
O (0.7442, 0.2415, 0.7442)
O (0.7442, 0.7442, 0.2415)
O (0.7585, 0.2558, 0.2558)
O (0.7586, 0.7586, 0.7586)

---

(2)
The following is a PBE+U calculation of crystalline Li2TiCrO4 at its relaxed geometry, from the Alexandria database.

Summary:
Its density of states at the Fermi level is 0.211 states/eV per atom. The crystal system is orthorhombic. The calculation puts the energy above the most stable polymorph in this dataset at 6.7 meV/atom.

Lattice parameters (Å, degrees): 5.9377 5.9377 5.9377 120.47 119.46 90.07
Atoms (fractional coordinates):
Li (0.0000, 0.0000, 0.0000)
Li (0.5000, 0.0000, 0.0000)
Li (0.5000, 0.0000, 0.5000)
Li (0.5000, 0.5000, 0.5000)
Ti (0.0000, 0.0000, 0.5000)
Ti (0.0000, 0.5000, 0.0000)
Cr (0.0000, 0.5000, 0.5000)
Cr (0.5000, 0.5000, 0.0000)
O (0.2336, 0.7437, 0.4899)
O (0.2443, 0.2595, 0.5152)
O (0.2443, 0.7292, 0.9848)
O (0.2462, 0.2563, 0.9899)
O (0.7538, 0.7437, 0.0101)
O (0.7557, 0.2708, 0.0152)
O (0.7557, 0.7405, 0.4848)
O (0.7664, 0.2563, 0.5101)

---

(3)
The following is a PBE+U calculation of crystalline Li4TiCr5O12 at its relaxed geometry, from the Alexandria database.

Summary:
The calculated total energy comes out at -7.188 eV/atom. Its density of states at the Fermi level is 0.064 states/eV per atom. The crystal system is monoclinic.

Lattice parameters (Å, degrees): 5.1178 5.1178 10.1575 93.39 93.39 119.84
Atoms (fractional coordinates):
Li (0.0514, 0.7018, 0.7431)
Li (0.2982, 0.9486, 0.2569)
Li (0.7018, 0.0514, 0.7431)
Li (0.9486, 0.2982, 0.2569)
Ti (0.0000, 0.0000, 0.5000)
Cr (0.1682, 0.8318, 0.0000)
Cr (0.3354, 0.6646, 0.5000)
Cr (0.5000, 0.5000, 0.0000)
Cr (0.6646, 0.3354, 0.5000)
Cr (0.8318, 0.1682, 0.0000)
O (0.0165, 0.3528, 0.6052)
O (0.1370, 0.1370, 0.9016)
O (0.1854, 0.5273, 0.1063)
O (0.2941, 0.2941, 0.3944)
O (0.3528, 0.0165, 0.6052)
O (0.4727, 0.8146, 0.8937)
O (0.5273, 0.1854, 0.1063)
O (0.6472, 0.9835, 0.3948)
O (0.7059, 0.7059, 0.6056)
O (0.8146, 0.4727, 0.8937)
O (0.8630, 0.8630, 0.0984)
O (0.9835, 0.6472, 0.3948)

---

(4)
The following is a PBE+U calculation of crystalline Li4Ti3V3Cr2O16 at its relaxed geometry, from the Alexandria database.

Summary:
The calculated total energy comes out at -7.661 eV/atom. The crystal system is monoclinic.

Lattice parameters (Å, degrees): 5.9324 5.9324 9.6207 90.17 90.17 59.44
Atoms (fractional coordinates):
Li (0.0000, 0.0000, 0.0000)
Li (0.0048, 0.0048, 0.5030)
Li (0.3351, 0.3351, 0.6030)
Li (0.6702, 0.6702, 0.1043)
Ti (0.1689, 0.6634, 0.2822)
Ti (0.6634, 0.1689, 0.2822)
Ti (0.8339, 0.8339, 0.7749)
V (0.1722, 0.1722, 0.2877)
V (0.3488, 0.8219, 0.7898)
V (0.8219, 0.3488, 0.7898)
Cr (0.3353, 0.3353, 0.0119)
Cr (0.6673, 0.6673, 0.5124)
O (0.0011, 0.0011, 0.6883)
O (0.0425, 0.4895, 0.1583)
O (0.1644, 0.1644, 0.8932)
O (0.1708, 0.6703, 0.8932)
O (0.3313, 0.8348, 0.3940)
O (0.3464, 0.3464, 0.3962)
O (0.4821, 0.4821, 0.1584)
O (0.4895, 0.0425, 0.1583)
O (0.5221, 0.5221, 0.6584)
O (0.5241, 0.9629, 0.6582)
O (0.6703, 0.1708, 0.8932)
O (0.6804, 0.6804, 0.8995)
O (0.8348, 0.3313, 0.3940)
O (0.8381, 0.8381, 0.3945)
O (0.9629, 0.5241, 0.6582)
O (0.9976, 0.9976, 0.1855)

---

(5)
The following is a PBE+U calculation of crystalline LiTlCr2O8 at its relaxed geometry, from the Alexandria database.

Summary:
The calculated total energy comes out at -6.043 eV/atom. Its density of states at the Fermi level is 0.000 states/eV per atom. The crystal system is trigonal.

Lattice parameters (Å, degrees): 6.6150 6.6150 6.6150 54.23 54.23 54.23
Atoms (fractional coordinates):
Li (0.0000, 0.0000, 0.0000)
Tl (0.5000, 0.5000, 0.5000)
Cr (0.2108, 0.2108, 0.2108)
Cr (0.7892, 0.7892, 0.7892)
O (0.0619, 0.6042, 0.6042)
O (0.1144, 0.1144, 0.1144)
O (0.3958, 0.3958, 0.9381)
O (0.3958, 0.9381, 0.3958)
O (0.6042, 0.0619, 0.6042)
O (0.6042, 0.6042, 0.0619)
O (0.8856, 0.8856, 0.8856)
O (0.9381, 0.3958, 0.3958)

---

(6)
The following is a PBE+U calculation of crystalline LiTlCrO4 at its relaxed geometry, from the Alexandria database.

Summary:
The calculated total energy comes out at -5.914 eV/atom. Its density of states at the Fermi level is 0.000 states/eV per atom. The crystal system is tetragonal.

Lattice parameters (Å, degrees): 5.7442 5.7442 5.7442 120.63 120.63 88.90
Atoms (fractional coordinates):
Li (0.0000, 0.0000, 0.0000)
Tl (0.5000, 0.5000, 0.0000)
Cr (0.7500, 0.2500, 0.5000)
O (0.4120, 0.2272, 0.3718)
O (0.7728, 0.1447, 0.1848)
O (0.8553, 0.0402, 0.6282)
O (0.9598, 0.5880, 0.8152)